[1]
Computed, not measured: SmErAl after structural relaxation at the PBE level of DFT.

- Energy above the lowest structure with this stoichiometry: 0 meV/atom

Geometry as CIF:
```
data_SmErAl
_chemical_formula_sum 'Sm1 Er1 Al1'
_cell_length_a 7.1940
_cell_length_b 7.1940
_cell_length_c 7.1940
_cell_angle_alpha 152.17
_cell_angle_beta 152.17
_cell_angle_gamma 39.76
_space_group_name_H-M_alt 'P 1'
_space_group_IT_number 1
_space_group_name_Hall 'P 1'
loop_
_atom_site_label
_atom_site_type_symbol
_atom_site_fract_x
_atom_site_fract_y
_atom_site_fract_z
Sm1 Sm 0.0000 0.0000 0.0000
Er1 Er 0.7039 0.7039 0.0000
Al1 Al 0.3470 0.3470 0.0000
```


[2]
Computed, not measured: Dy2SnHg after structural relaxation at the PBE level of DFT.

- VASP energy: -3.9455 eV per atom

Geometry as CIF:
```
data_Dy2SnHg
_chemical_formula_sum 'Dy2 Sn1 Hg1'
_cell_length_a 5.1846
_cell_length_b 5.1846
_cell_length_c 3.8978
_cell_angle_alpha 90.00
_cell_angle_beta 90.00
_cell_angle_gamma 90.00
_space_group_name_H-M_alt 'P 1'
_space_group_IT_number 1
_space_group_name_Hall 'P 1'
loop_
_atom_site_label
_atom_site_type_symbol
_atom_site_fract_x
_atom_site_fract_y
_atom_site_fract_z
Dy1 Dy 0.0000 0.5000 0.0000
Dy2 Dy 0.5000 0.0000 0.0000
Sn1 Sn 0.0000 0.0000 0.5000
Hg1 Hg 0.5000 0.5000 0.5000
```


[3]
Computed, not measured: PaTi2Sb3 after structural relaxation at the PBE level of DFT.

- VASP energy: -6.2846 eV per atom

Geometry as CIF:
```
data_PaTi2Sb3
_chemical_formula_sum 'Pa2 Ti4 Sb6'
_cell_length_a 10.8716
_cell_length_b 10.8716
_cell_length_c 8.0491
_cell_angle_alpha 96.99
_cell_angle_beta 96.99
_cell_angle_gamma 21.43
_space_group_name_H-M_alt 'P 1'
_space_group_IT_number 1
_space_group_name_Hall 'P 1'
loop_
_atom_site_label
_atom_site_type_symbol
_atom_site_fract_x
_atom_site_fract_y
_atom_site_fract_z
Pa1 Pa 0.1695 0.1695 0.0943
Pa2 Pa 0.8305 0.8305 0.9057
Ti1 Ti 0.2094 0.2094 0.3951
Ti2 Ti 0.4603 0.4603 0.8203
Ti3 Ti 0.5397 0.5397 0.1797
Ti4 Ti 0.7906 0.7906 0.6049
Sb1 Sb 0.0798 0.0798 0.3916
Sb2 Sb 0.2229 0.2229 0.7465
Sb3 Sb 0.4121 0.4121 0.1268
Sb4 Sb 0.5879 0.5879 0.8732
Sb5 Sb 0.7771 0.7771 0.2535
Sb6 Sb 0.9202 0.9202 0.6084
```


[4]
Computed, not measured: CaDy6Y8 after structural relaxation at the PBE level of DFT.

- VASP energy: -5.2163 eV per atom

Geometry as CIF:
```
data_CaDy6Y8
_chemical_formula_sum 'Ca1 Dy6 Y8'
_cell_length_a 8.1836
_cell_length_b 8.1836
_cell_length_c 8.1836
_cell_angle_alpha 72.42
_cell_angle_beta 72.42
_cell_angle_gamma 72.42
_space_group_name_H-M_alt 'P 1'
_space_group_IT_number 1
_space_group_name_Hall 'P 1'
loop_
_atom_site_label
_atom_site_type_symbol
_atom_site_fract_x
_atom_site_fract_y
_atom_site_fract_z
Ca1 Ca 0.0000 0.0000 0.0000
Dy1 Dy 0.1764 0.4396 0.6158
Dy2 Dy 0.3842 0.8236 0.5604
Dy3 Dy 0.4396 0.6158 0.1764
Dy4 Dy 0.5604 0.3842 0.8236
Dy5 Dy 0.6158 0.1764 0.4396
Dy6 Dy 0.8236 0.5604 0.3842
Y1 Y 0.0509 0.8659 0.3734
Y2 Y 0.1341 0.6266 0.9491
Y3 Y 0.2417 0.2417 0.2417
Y4 Y 0.3734 0.0509 0.8659
Y5 Y 0.6266 0.9491 0.1341
Y6 Y 0.7583 0.7583 0.7583
Y7 Y 0.8659 0.3734 0.0509
Y8 Y 0.9491 0.1341 0.6266
```


[5]
Computed, not measured: LaZrBe2 after structural relaxation at the PBE level of DFT.

- Energy above the lowest structure with this stoichiometry: 393 meV/atom

Geometry as CIF:
```
data_LaZrBe2
_chemical_formula_sum 'La1 Zr1 Be2'
_cell_length_a 8.3196
_cell_length_b 8.3196
_cell_length_c 8.3196
_cell_angle_alpha 23.86
_cell_angle_beta 23.86
_cell_angle_gamma 23.86
_space_group_name_H-M_alt 'P 1'
_space_group_IT_number 1
_space_group_name_Hall 'P 1'
loop_
_atom_site_label
_atom_site_type_symbol
_atom_site_fract_x
_atom_site_fract_y
_atom_site_fract_z
La1 La 0.0000 0.0000 0.0000
Zr1 Zr 0.5000 0.5000 0.5000
Be1 Be 0.2402 0.2402 0.2402
Be2 Be 0.7598 0.7598 0.7598
```


[6]
Computed, not measured: NaInAg2Cl after structural relaxation at the PBE level of DFT.

- Energy above the lowest structure with this stoichiometry: 0 meV/atom

Geometry as CIF:
```
data_NaInAg2Cl
_chemical_formula_sum 'Na1 In1 Ag2 Cl1'
_cell_length_a 5.1758
_cell_length_b 5.1758
_cell_length_c 7.1101
_cell_angle_alpha 90.00
_cell_angle_beta 90.00
_cell_angle_gamma 90.00
_space_group_name_H-M_alt 'P 1'
_space_group_IT_number 1
_space_group_name_Hall 'P 1'
loop_
_atom_site_label
_atom_site_type_symbol
_atom_site_fract_x
_atom_site_fract_y
_atom_site_fract_z
Na1 Na 0.0000 0.0000 0.0000
In1 In 0.0000 0.0000 0.5000
Ag1 Ag 0.0000 0.5000 0.5000
Ag2 Ag 0.5000 0.0000 0.5000
Cl1 Cl 0.5000 0.5000 0.0000
```


[7]
Computed, not measured: Dy3Cd2Ni2 after structural relaxation at the PBE level of DFT.

- VASP energy: -4.2980 eV per atom

Geometry as CIF:
```
data_Dy3Cd2Ni2
_chemical_formula_sum 'Dy3 Cd2 Ni2'
_cell_length_a 11.0708
_cell_length_b 11.0708
_cell_length_c 3.6888
_cell_angle_alpha 90.00
_cell_angle_beta 90.00
_cell_angle_gamma 159.91
_space_group_name_H-M_alt 'P 1'
_space_group_IT_number 1
_space_group_name_Hall 'P 1'
loop_
_atom_site_label
_atom_site_type_symbol
_atom_site_fract_x
_atom_site_fract_y
_atom_site_fract_z
Dy1 Dy 0.0000 0.0000 0.0000
Dy2 Dy 0.1756 0.8244 0.0000
Dy3 Dy 0.8244 0.1756 0.0000
Cd1 Cd 0.4138 0.5862 0.5000
Cd2 Cd 0.5862 0.4138 0.5000
Ni1 Ni 0.2819 0.7181 0.5000
Ni2 Ni 0.7181 0.2819 0.5000
```


[8]
Computed, not measured: RbSc3Br after structural relaxation at the PBE level of DFT.

- Energy above the lowest structure with this stoichiometry: 1118 meV/atom

Geometry as CIF:
```
data_RbSc3Br
_chemical_formula_sum 'Rb1 Sc3 Br1'
_cell_length_a 5.3712
_cell_length_b 5.3712
_cell_length_c 5.3712
_cell_angle_alpha 90.00
_cell_angle_beta 90.00
_cell_angle_gamma 90.00
_space_group_name_H-M_alt 'P 1'
_space_group_IT_number 1
_space_group_name_Hall 'P 1'
loop_
_atom_site_label
_atom_site_type_symbol
_atom_site_fract_x
_atom_site_fract_y
_atom_site_fract_z
Rb1 Rb 0.0000 0.0000 0.0000
Sc1 Sc 0.0000 0.0000 0.5000
Sc2 Sc 0.0000 0.5000 0.0000
Sc3 Sc 0.5000 0.0000 0.0000
Br1 Br 0.5000 0.5000 0.5000
```


[9]
Computed, not measured: Co2PbI after structural relaxation at the PBE level of DFT.

- Energy above the lowest structure with this stoichiometry: 101 meV/atom

Geometry as CIF:
```
data_Co2PbI
_chemical_formula_sum 'Co2 Pb1 I1'
_cell_length_a 4.7335
_cell_length_b 4.7335
_cell_length_c 4.7335
_cell_angle_alpha 60.00
_cell_angle_beta 60.00
_cell_angle_gamma 60.00
_space_group_name_H-M_alt 'P 1'
_space_group_IT_number 1
_space_group_name_Hall 'P 1'
loop_
_atom_site_label
_atom_site_type_symbol
_atom_site_fract_x
_atom_site_fract_y
_atom_site_fract_z
Co1 Co 0.2500 0.2500 0.2500
Co2 Co 0.7500 0.7500 0.7500
Pb1 Pb 0.0000 0.0000 0.0000
I1 I 0.5000 0.5000 0.5000
```


[10]
Computed, not measured: SnHPd3 after structural relaxation at the PBE level of DFT.

- Energy above the lowest structure with this stoichiometry: 164 meV/atom

Geometry as CIF:
```
data_SnHPd3
_chemical_formula_sum 'Sn2 H2 Pd6'
_cell_length_a 5.3801
_cell_length_b 5.3801
_cell_length_c 5.3801
_cell_angle_alpha 78.35
_cell_angle_beta 78.35
_cell_angle_gamma 78.35
_space_group_name_H-M_alt 'P 1'
_space_group_IT_number 1
_space_group_name_Hall 'P 1'
loop_
_atom_site_label
_atom_site_type_symbol
_atom_site_fract_x
_atom_site_fract_y
_atom_site_fract_z
Sn1 Sn 0.0000 0.0000 0.0000
Sn2 Sn 0.5000 0.5000 0.5000
H1 H 0.2500 0.2500 0.2500
H2 H 0.7500 0.7500 0.7500
Pd1 Pd 0.0132 0.7500 0.4868
Pd2 Pd 0.2500 0.5132 0.9868
Pd3 Pd 0.4868 0.0132 0.7500
Pd4 Pd 0.5132 0.9868 0.2500
Pd5 Pd 0.7500 0.4868 0.0132
Pd6 Pd 0.9868 0.2500 0.5132
```


[11]
Computed, not measured: Ir2Au after structural relaxation at the PBE level of DFT.

- Energy above the lowest structure with this stoichiometry: 156 meV/atom

Geometry as CIF:
```
data_Ir2Au
_chemical_formula_sum 'Ir2 Au1'
_cell_length_a 4.9236
_cell_length_b 4.9236
_cell_length_c 4.9236
_cell_angle_alpha 146.86
_cell_angle_beta 133.46
_cell_angle_gamma 58.32
_space_group_name_H-M_alt 'P 1'
_space_group_IT_number 1
_space_group_name_Hall 'P 1'
loop_
_atom_site_label
_atom_site_type_symbol
_atom_site_fract_x
_atom_site_fract_y
_atom_site_fract_z
Ir1 Ir 0.1760 0.1760 0.0000
Ir2 Ir 0.8240 0.8240 0.0000
Au1 Au 0.5000 0.5000 0.0000
```


[12]
Computed, not measured: K2AsPb after structural relaxation at the PBE level of DFT.

- Energy above the lowest structure with this stoichiometry: 0 meV/atom

Geometry as CIF:
```
data_K2AsPb
_chemical_formula_sum 'K2 As1 Pb1'
_cell_length_a 4.3700
_cell_length_b 6.8776
_cell_length_c 6.8776
_cell_angle_alpha 45.99
_cell_angle_beta 90.00
_cell_angle_gamma 90.00
_space_group_name_H-M_alt 'P 1'
_space_group_IT_number 1
_space_group_name_Hall 'P 1'
loop_
_atom_site_label
_atom_site_type_symbol
_atom_site_fract_x
_atom_site_fract_y
_atom_site_fract_z
K1 K 0.0000 0.0000 0.0000
K2 K 0.5000 0.2873 0.2873
As1 As 0.5000 0.5624 0.5624
Pb1 Pb 0.0000 0.7013 0.7013
```


[13]
Computed, not measured: LaCd2Pt after structural relaxation at the PBE level of DFT.

- VASP energy: -3.5680 eV per atom

Geometry as CIF:
```
data_LaCd2Pt
_chemical_formula_sum 'La1 Cd2 Pt1'
_cell_length_a 6.7112
_cell_length_b 6.7112
_cell_length_c 4.1341
_cell_angle_alpha 107.76
_cell_angle_beta 107.76
_cell_angle_gamma 128.47
_space_group_name_H-M_alt 'P 1'
_space_group_IT_number 1
_space_group_name_Hall 'P 1'
loop_
_atom_site_label
_atom_site_type_symbol
_atom_site_fract_x
_atom_site_fract_y
_atom_site_fract_z
La1 La 0.0000 0.0000 0.0000
Cd1 Cd 0.0000 0.5000 0.5000
Cd2 Cd 0.5000 0.0000 0.5000
Pt1 Pt 0.5000 0.5000 0.0000
```


| no. | Fermi-level density of states (states/eV per atom) |
| --- | --- |
| 1 | 0.644 |
| 2 | 0.793 |
| 3 | 0.874 |
| 4 | 1.429 |
| 5 | 1.074 |
| 6 | 0.448 |
| 7 | 0.772 |
| 8 | 1.159 |
| 9 | 2.299 |
| 10 | 0.296 |
| 11 | 1.590 |
| 12 | 0.536 |
| 13 | 0.664 |